(1)
Compound: HfTaCrRh2
Source: Alexandria
Functional: PBE-GGA
Structure: optimized geometry

Summary:
VASP energy = -42.062 eV per cell
D(E_F) = 0.949 states/eV/atom
Symmetry = P4/mmm, No. 123
Magnetic moment = 1.60 μB/f.u.

Cell lengths 4.7192, 4.7192, 4.4911 Å; angles 90.00, 90.00, 90.00 degrees
Sites, in units of the cell vectors:
Hf: 0.0000 0.0000 0.0000
Ta: 0.5000 0.5000 0.5000
Cr: 0.5000 0.5000 0.0000
Rh: 0.0000 0.5000 0.5000
Rh: 0.5000 0.0000 0.5000

---

(2)
Compound: LiCaZnAg
Source: Alexandria
Functional: PBE-GGA
Structure: optimized geometry

Summary:
VASP energy = -8.832 eV per cell
D(E_F) = 0.299 states/eV/atom
Symmetry = Cm, No. 8
Magnetic moment = 0.00 μB/f.u.

Cell lengths 4.5859, 4.5859, 5.5406 Å; angles 114.66, 114.66, 60.06 degrees
Sites, in units of the cell vectors:
Li: 0.0000 0.0000 0.0000
Ca: 0.2043 0.2043 0.6123
Zn: 0.7248 0.7248 0.1750
Ag: 0.4141 0.4141 0.2434

---

(3)
Compound: Nd7TlAg4
Source: Alexandria
Functional: PBE-GGA
Structure: optimized geometry

Summary:
VASP energy = -48.048 eV per cell
D(E_F) = 1.189 states/eV/atom
Symmetry = C2/m, No. 12
Magnetic moment = 0.00 μB/f.u.

Cell lengths 7.9508, 7.9508, 9.4588 Å; angles 118.76, 118.76, 43.26 degrees
Sites, in units of the cell vectors:
Nd: 0.0000 0.0000 0.0000
Nd: 0.2240 0.2240 0.6875
Nd: 0.3147 0.3147 0.1121
Nd: 0.4256 0.4256 0.5948
Nd: 0.5744 0.5744 0.4052
Nd: 0.6853 0.6853 0.8879
Nd: 0.7760 0.7760 0.3125
Tl: 0.5000 0.5000 0.0000
Ag: 0.0219 0.0219 0.6825
Ag: 0.1892 0.1892 0.3422
Ag: 0.8108 0.8108 0.6578
Ag: 0.9781 0.9781 0.3175

---

(4)
Compound: Li2ZrCo
Source: Alexandria
Functional: PBE-GGA
Structure: optimized geometry

Summary:
VASP energy = -18.175 eV per cell
D(E_F) = 0.765 states/eV/atom
Symmetry = R-3m, No. 166
Magnetic moment = 1.06 μB/f.u.

Cell lengths 10.0009, 10.0009, 10.0009 Å; angles 15.93, 15.93, 15.93 degrees
Sites, in units of the cell vectors:
Li: 0.2384 0.2384 0.2384
Li: 0.7616 0.7616 0.7616
Zr: 0.0000 0.0000 0.0000
Co: 0.5000 0.5000 0.5000

---

(5)
Compound: Pr6TmIn2
Source: Alexandria
Functional: PBE-GGA
Structure: optimized geometry

Summary:
VASP energy = -39.389 eV per cell
D(E_F) = 1.330 states/eV/atom
Symmetry = C2/m, No. 12
Magnetic moment = 0.00 μB/f.u.

Cell lengths 9.9975, 9.9975, 3.5018 Å; angles 100.01, 100.01, 56.94 degrees
Sites, in units of the cell vectors:
Pr: 0.1452 0.5154 0.8312
Pr: 0.1645 0.8355 0.0000
Pr: 0.4846 0.8548 0.1688
Pr: 0.5154 0.1452 0.8312
Pr: 0.8355 0.1645 0.0000
Pr: 0.8548 0.4846 0.1688
Tm: 0.5000 0.5000 0.5000
In: 0.1538 0.1538 0.6523
In: 0.8462 0.8462 0.3477

---

(6)
Compound: SmSnB2O6
Source: Alexandria
Functional: PBE-GGA
Structure: optimized geometry

Summary:
D(E_F) = 0.094 states/eV/atom
Uncorrected formation energy = -2.41 eV per atom
Symmetry = C2/c, No. 15
Magnetic moment = 0.00 μB/f.u.

Cell lengths 6.4890, 6.4890, 6.5339 Å; angles 100.71, 100.71, 100.64 degrees
Sites, in units of the cell vectors:
Sm: 0.0966 0.9034 0.7500
Sm: 0.9034 0.0966 0.2500
Sn: 0.4113 0.5887 0.2500
Sn: 0.5887 0.4113 0.7500
B: 0.0920 0.4066 0.7544
B: 0.4066 0.0920 0.2544
B: 0.5934 0.9080 0.7456
B: 0.9080 0.5934 0.2456
O: 0.0316 0.2058 0.6208
O: 0.0445 0.4539 0.2391
O: 0.2058 0.0316 0.1208
O: 0.3039 0.4756 0.8840
O: 0.4539 0.0445 0.7391
O: 0.4756 0.3039 0.3840
O: 0.5244 0.6961 0.6160
O: 0.5461 0.9555 0.2609
O: 0.6961 0.5244 0.1160
O: 0.7942 0.9684 0.8792
O: 0.9555 0.5461 0.7609
O: 0.9684 0.7942 0.3792

---

(7)
Compound: YInOs2
Source: Alexandria
Functional: PBE-GGA
Structure: optimized geometry

Summary:
VASP energy = -29.399 eV per cell
D(E_F) = 0.697 states/eV/atom
Symmetry = R-3m, No. 166
Magnetic moment = 0.00 μB/f.u.

Cell lengths 9.0732, 9.0732, 9.0732 Å; angles 19.81, 19.81, 19.81 degrees
Sites, in units of the cell vectors:
Y: 0.0000 0.0000 0.0000
In: 0.5000 0.5000 0.5000
Os: 0.2481 0.2481 0.2481
Os: 0.7519 0.7519 0.7519

---

(8)
Compound: Hg2MoW
Source: Alexandria
Functional: PBE-GGA
Structure: optimized geometry

Summary:
VASP energy = -20.253 eV per cell
D(E_F) = 1.426 states/eV/atom
Symmetry = Fm-3m, No. 225
Magnetic moment = 0.00 μB/f.u.

Cell lengths 4.6656, 4.6656, 4.6656 Å; angles 60.00, 60.00, 60.00 degrees
Sites, in units of the cell vectors:
Hg: 0.2500 0.2500 0.2500
Hg: 0.7500 0.7500 0.7500
Mo: 0.0000 0.0000 0.0000
W: 0.5000 0.5000 0.5000

---

(9)
Compound: InIr2Cl
Source: Alexandria
Functional: PBE-GGA
Structure: optimized geometry

Summary:
D(E_F) = 1.223 states/eV/atom
Uncorrected formation energy = 0.64 eV per atom
Symmetry = P4/mmm, No. 123
Magnetic moment = 0.00 μB/f.u.

Cell lengths 2.9781, 2.9781, 7.5868 Å; angles 90.00, 90.00, 90.00 degrees
Sites, in units of the cell vectors:
In: 0.0000 0.0000 0.0000
Ir: 0.5000 0.5000 0.2484
Ir: 0.5000 0.5000 0.7516
Cl: 0.0000 0.0000 0.5000

---

(10)
Compound: SrOsRu2
Source: Alexandria
Functional: PBE-GGA
Structure: optimized geometry

Summary:
VASP energy = -28.931 eV per cell
D(E_F) = 1.649 states/eV/atom
Symmetry = P4mm, No. 99
Magnetic moment = 0.00 μB/f.u.

Cell lengths 2.8571, 2.8571, 8.5940 Å; angles 90.00, 90.00, 90.00 degrees
Sites, in units of the cell vectors:
Sr: 0.0000 0.0000 0.0000
Os: 0.5000 0.5000 0.2964
Ru: 0.0000 0.0000 0.4954
Ru: 0.5000 0.5000 0.7018

---

(11)
Compound: Sc3BeAu
Source: Alexandria
Functional: PBE-GGA
Structure: optimized geometry

Summary:
VASP energy = -25.476 eV per cell
D(E_F) = 1.801 states/eV/atom
Symmetry = Pm-3m, No. 221
Magnetic moment = 0.03 μB/f.u.

Cell lengths 4.7584, 4.7584, 4.7584 Å; angles 90.00, 90.00, 90.00 degrees
Sites, in units of the cell vectors:
Sc: 0.0000 0.0000 0.5000
Sc: 0.0000 0.5000 0.0000
Sc: 0.5000 0.0000 0.0000
Be: 0.0000 0.0000 0.0000
Au: 0.5000 0.5000 0.5000

---

(12)
Compound: AgSn5Pd3
Source: Alexandria
Functional: PBE-GGA
Structure: optimized geometry

Summary:
VASP energy = -79.881 eV per cell
D(E_F) = 0.512 states/eV/atom
Symmetry = C2/m, No. 12
Magnetic moment = 0.00 μB/f.u.

Cell lengths 7.4895, 7.4895, 9.8793 Å; angles 117.09, 117.09, 75.38 degrees
Sites, in units of the cell vectors:
Ag: 0.2235 0.2235 0.3221
Ag: 0.7765 0.7765 0.6779
Sn: 0.1911 0.6487 0.5987
Sn: 0.2084 0.2084 0.6444
Sn: 0.2389 0.2389 0.0272
Sn: 0.2845 0.7155 0.0000
Sn: 0.3513 0.8089 0.4013
Sn: 0.6487 0.1911 0.5987
Sn: 0.7155 0.2845 0.0000
Sn: 0.7611 0.7611 0.9728
Sn: 0.7916 0.7916 0.3556
Sn: 0.8089 0.3513 0.4013
Pd: 0.0000 0.0000 0.0000
Pd: 0.0242 0.0242 0.7098
Pd: 0.4869 0.4869 0.8052
Pd: 0.5000 0.5000 0.5000
Pd: 0.5131 0.5131 0.1948
Pd: 0.9758 0.9758 0.2902